(1)
TaGaAsO | PBE | optimized geometry

a b c (Å): 3.9698 3.9698 8.1200
angles (deg): 90.00 90.00 90.00
With the nearest neighbours (Å) after each atom.
Element x y z (fractional)
As (0.0000, 0.5000, 0.2868)  4 Ta 2.63
As (0.5000, 0.0000, 0.7132)  4 Ta 2.63
Ga (0.5000, 0.0000, 0.0877)  4 O 2.11
Ga (0.0000, 0.5000, 0.9123)  4 O 2.11
O (0.0000, 0.0000, 0.0000)  4 Ga 2.11
O (0.5000, 0.5000, 0.0000)  4 Ga 2.11
Ta (0.0000, 0.0000, 0.5000)  4 As 2.63, 4 Ta 2.81
Ta (0.5000, 0.5000, 0.5000)  4 As 2.63, 4 Ta 2.81



(2)
GaTcAsO | PBE | optimized geometry

a b c (Å): 3.1504 6.5177 5.9088
angles (deg): 90.00 90.00 90.00
With the nearest neighbours (Å) after each atom.
Element x y z (fractional)
As (0.0000, 0.2113, 0.3585)  4 Tc 2.47-2.66, 2 Ga 2.63-2.66
As (0.0000, 0.7887, 0.8585)  4 Tc 2.47-2.66, 2 Ga 2.63-2.66
Ga (0.0000, 0.6050, 0.4559)  2 O 1.97
Ga (0.0000, 0.3950, 0.9559)  2 O 1.97
O (0.5000, 0.7587, 0.3476)  2 Ga 1.97, 2 Tc 2.13-2.18
O (0.5000, 0.2413, 0.8476)  2 Ga 1.97, 2 Tc 2.13-2.18
Tc (0.5000, 0.9896, 0.0919)  2 O 2.13-2.18
Tc (0.5000, 0.0104, 0.5919)  2 O 2.13-2.18



(3)
GaTcAsO | PBE | optimized geometry

a b c (Å): 3.6951 3.6951 9.1463
angles (deg): 90.00 90.00 90.00
With the nearest neighbours (Å) after each atom.
Element x y z (fractional)
As (0.0000, 0.5000, 0.3051)  4 Tc 2.57
As (0.5000, 0.0000, 0.6949)  4 Tc 2.57
Ga (0.5000, 0.0000, 0.0960)  4 O 2.05
Ga (0.0000, 0.5000, 0.9040)  4 O 2.05
O (0.0000, 0.0000, 0.0000)  4 Ga 2.05
O (0.5000, 0.5000, 0.0000)  4 Ga 2.05
Tc (0.0000, 0.0000, 0.5000)  4 As 2.57, 4 Tc 2.61
Tc (0.5000, 0.5000, 0.5000)  4 As 2.57, 4 Tc 2.61



(4)
GaTcAsO | PBE | optimized geometry

a b c (Å): 3.8629 3.8629 8.5081
angles (deg): 90.00 90.00 90.00
With the nearest neighbours (Å) after each atom.
Element x y z (fractional)
As (0.0000, 0.5000, 0.2795)  4 Ga 2.69
As (0.5000, 0.0000, 0.7205)  4 Ga 2.69
Ga (0.0000, 0.0000, 0.5000)  4 As 2.69, 4 Ga 2.73
Ga (0.5000, 0.5000, 0.5000)  4 As 2.69, 4 Ga 2.73
O (0.0000, 0.0000, 0.0000)  4 Tc 2.12
O (0.5000, 0.5000, 0.0000)  4 Tc 2.12
Tc (0.5000, 0.0000, 0.1040)  4 O 2.12
Tc (0.0000, 0.5000, 0.8960)  4 O 2.12



(5)
GaTcAsO | PBE | optimized geometry

a b c (Å): 3.4436 3.4436 9.8887
angles (deg): 90.00 90.00 90.00
With the nearest neighbours (Å) after each atom.
Element x y z (fractional)
As (0.7500, 0.7500, 0.2551)  4 Tc 2.76, 4 Ga 2.97, 4 O 3.05
As (0.2500, 0.2500, 0.7449)  4 Tc 2.76, 4 Ga 2.97, 4 O 3.05
Ga (0.7500, 0.2500, 0.5000)  4 Ga 2.43
Ga (0.2500, 0.7500, 0.5000)  4 Ga 2.43
O (0.7500, 0.2500, 0.0000)  4 Tc 2.11
O (0.2500, 0.7500, 0.0000)  4 Tc 2.11
Tc (0.2500, 0.2500, 0.1241)  4 O 2.11
Tc (0.7500, 0.7500, 0.8759)  4 O 2.11



(6)
GaTcAsO | PBE | optimized geometry

a b c (Å): 4.2318 4.9031 5.7317
angles (deg): 90.00 90.00 90.00
With the nearest neighbours (Å) after each atom.
Element x y z (fractional)
As (0.0000, 0.3728, 0.3186)  3 Tc 2.45-2.58, 2 Ga 2.69
As (0.0000, 0.6272, 0.8186)  3 Tc 2.45-2.58, 2 Ga 2.69
Ga (0.5000, 0.7829, 0.0748)  2 O 1.96-2.05
Ga (0.5000, 0.2171, 0.5748)  2 O 1.96-2.05
O (0.5000, 0.8441, 0.4128)  2 Ga 1.96-2.05, 2 Tc 2.13
O (0.5000, 0.1559, 0.9128)  2 Ga 1.96-2.05, 2 Tc 2.13
Tc (0.0000, 0.8777, 0.4478)  2 O 2.13
Tc (0.0000, 0.1223, 0.9478)  2 O 2.13



The records above give, respectively, calculated density values of 8.9; 7.1; 6.9; 6.8; 7.3; 7.2 Mg/m³.
The records above give, respectively, M_tot values of 0.01; 0.38; 0.01; 2.40; 0.01; 0.68 μB per formula unit.
The records above give, respectively, total energy values of -6.57; -6.25; -6.21; -5.64; -5.84; -6.08 eV per atom.